DFT (PBE-GGA) results for a relaxed Ge8Pd21 crystal.

Structure (CIF):
```
data_Ge8Pd21
_chemical_formula_sum 'Ge32 Pd84'
_symmetry_space_group_name_H-M 'I 41/a'
_symmetry_Int_Tables_number 88
_cell_length_a 13.2776
_cell_length_b 13.2776
_cell_length_c 10.1657
_cell_angle_alpha 90.00
_cell_angle_beta 90.00
_cell_angle_gamma 90.00
loop_
_symmetry_equiv_pos_as_xyz
'x,y,z'
'-x,-y,-z'
'-y+3/4,x+1/4,z+1/4'
'y+3/4,-x+1/4,-z+1/4'
'-x+1/2,-y,z+1/2'
'x+1/2,y,-z+1/2'
'y+3/4,-x+3/4,z+3/4'
'-y+3/4,x+3/4,-z+3/4'
'x+1/2,y+1/2,z+1/2'
'-x+1/2,-y+1/2,-z+1/2'
'-y+1/4,x+3/4,z+3/4'
'y+1/4,-x+3/4,-z+3/4'
'-x,-y+1/2,z'
'x,y+1/2,-z'
'y+1/4,-x+1/4,z+1/4'
'-y+1/4,x+1/4,-z+1/4'
loop_
_atom_site_label
_atom_site_type_symbol
_atom_site_fract_x
_atom_site_fract_y
_atom_site_fract_z
_atom_site_occupancy
Ge1 Ge 0.0954 0.3738 0.4708 1
Ge2 Ge 0.0970 0.0465 0.1769 1
Pd1 Pd 0.0000 0.2500 0.6250 1
Pd2 Pd 0.0136 0.0302 0.6363 1
Pd3 Pd 0.0539 0.3388 0.2280 1
Pd4 Pd 0.0833 0.3568 0.8465 1
Pd5 Pd 0.0907 0.0030 0.9265 1
Pd6 Pd 0.2031 0.4708 0.6400 1
```

Summary:
Volume = 1792.2 Å³ per cell
E_tot = -638.80 eV per cell

=====

DFT (PBE-GGA) results for a relaxed GePd17 crystal.

Structure (CIF):
```
data_GePd17
_chemical_formula_sum 'Ge2 Pd34'
_symmetry_space_group_name_H-M 'P -3 m 1'
_symmetry_Int_Tables_number 164
_symmetry_space_group_name_Hall '-P 3 2"'
_cell_length_a 5.5387
_cell_length_b 5.5387
_cell_length_c 33.7360
_cell_angle_alpha 90.00
_cell_angle_beta 90.00
_cell_angle_gamma 120.00
loop_
_atom_site_label
_atom_site_type_symbol
_atom_site_fract_x
_atom_site_fract_y
_atom_site_fract_z
_atom_site_occupancy
Ge1 Ge 0.3333 0.6667 0.2673 1
Pd1 Pd 0.0000 0.0000 0.0000 1
Pd2 Pd 0.0000 0.0000 0.2045 1
Pd3 Pd 0.0000 0.5000 0.0000 1
Pd4 Pd 0.0006 0.5003 0.2055 1
Pd5 Pd 0.1662 0.3325 0.7262 1
Pd6 Pd 0.1666 0.3331 0.9318 1
Pd7 Pd 0.1670 0.3341 0.1366 1
Pd8 Pd 0.3333 0.6667 0.0683 1
Pd9 Pd 0.3333 0.6667 0.8636 1
```

Summary:
Volume = 896.3 Å³ per cell
E_tot = -184.95 eV per cell

=====

Q: E_tot of number 2 (GePd17)?
A: -184.95 eV per cell